#1
Crystalline TaSnPd3 at its relaxed geometry, computed with PBE.

Properties
density	9.306	Mg/m³
calculated volume	110.4	Å³/cell
total moment	0.00	μB per formula unit

Cell: 4.798 4.798 4.798 Å, 90.00 90.00 90.00°
Space group Pm-3m (No. 221)
Asymmetric unit:
Ta 0.000 0.000 0.000 x1
Sn 0.500 0.500 0.500 x1
Pd 0.000 0.500 0.500 x3

=====

#2
Crystalline TaSnPd3 at its relaxed geometry, computed with PBE.

Properties
density	8.779	Mg/m³
calculated volume	117.1	Å³/cell
total moment	0.00	μB per formula unit

Cell: 4.892 4.892 4.892 Å, 90.00 90.00 90.00°
Space group Pm-3m (No. 221)
Asymmetric unit:
Ta 0.000 0.000 0.000 x1
Sn 0.500 0.500 0.500 x1
Pd 0.000 0.000 0.500 x3

=====

So which one is most stable? That would be #2, about 362 meV/atom below the next structure.